This record from the Alexandria database describes a crystal of KTl3Ir relaxed with PBEsol. The functional is meta-GGA SCAN.

Lattice parameters (Å, degrees): 5.561 5.561 5.561 90.00 90.00 90.00
Fractional coordinates of all 5 atoms:
K1 0.000 0.000 0.000
Tl1 0.000 0.000 0.500
Tl2 0.000 0.500 0.000
Tl3 0.500 0.000 0.000
Ir1 0.500 0.500 0.500

Values from the calculation:
calculated total energy: -287.667 eV per cell
M_tot: 0.8 μB per formula unit
symmetry: Pm-3m, No. 221